An optimized crystal structure of Ba3NiAu2O6. Source: the Alexandria database, functional GGA+U.

```
Ba3NiAu2O6
1.0
5.963 0.000 0.000
-2.981 5.164 0.000
0.000 0.000 6.814
Ba Ni Au O
3 1 2 6
Cartesian
0.000 0.000 0.000
0.000 3.443 4.317
2.981 1.721 2.496
0.000 0.000 3.407
0.000 3.443 0.965
2.981 1.721 5.849
0.000 1.647 2.196
-1.555 4.340 2.196
1.427 0.824 4.618
1.555 4.340 2.196
4.536 0.824 4.618
2.981 3.517 4.618
```

Calculated values
Calculated total energy in eV for the cell shown: -59.2
Total moment in μB per cell: 0.1